DFT (PBE) results for a relaxed Zn2Ru3 crystal.

abc: 10.9653 10.9653 10.9653
angles: 14.35 14.35 14.35
Fractional positions:
1 Zn 0.6002 0.6002 0.6002
2 Zn 0.3998 0.3998 0.3998
3 Ru 0.0000 0.0000 0.0000
4 Ru 0.8017 0.8017 0.8017
5 Ru 0.1983 0.1983 0.1983

Calculated values
The total magnetization comes out at 0.00 μB/f.u. The value obtained for the density of states at the Fermi level is 6.1 states/eV per cell. The energy relative to the elements comes out at 31.8 kJ/mol of formula units. The value obtained for the energy above the most stable polymorph in this dataset is 0.000 eV per atom. The calculation puts the total DFT energy (no corrections) at -0.221 hartree per atom.